## LiNbZnNi (PBE)

Data for a relaxed LiNbZnNi crystal.

Calculated values
- N(E_F): 1.06 states/eV/cell
- Calculated density: 6992 kg/m³
- E_form: -0.1340 eV/atom
- M_tot: 0.000 Bohr magnetons per cell

Lattice parameters (Å, degrees): 5.970 5.970 5.970 90.00 90.00 90.00
Space group F-43m (No. 216)
One atom of each set of equivalent atoms:
1 Li 0.000 0.000 0.000 [4 per cell]
2 Nb 0.250 0.250 0.250 [4 per cell]
3 Zn 0.250 0.250 0.750 [4 per cell]
4 Ni 0.000 0.000 0.500 [4 per cell]

***

## LiNpNbO6 (PBE)

Data for a relaxed LiNpNbO6 crystal.

Calculated values
- Calculated density: 5786 kg/m³
- E: -8.580 eV per atom
- M_tot: 2.000 Bohr magnetons per cell

Lattice parameters (Å, degrees): 5.5022 5.5022 9.4756 90.00 90.00 120.00
Space group P-31c (No. 163)
One atom of each set of equivalent atoms:
1 Li 0.0000 0.0000 0.0000 [2 per cell]
2 Np 0.3333 0.6667 0.2500 [2 per cell]
3 Nb 0.3333 0.6667 0.7500 [2 per cell]
4 O 0.0066 0.3682 0.6382 [12 per cell]

***

## Li2NpNbO6 (PBE)

Data for a relaxed Li2NpNbO6 crystal.

Calculated values
- N(E_F): 11.62 states/eV/cell
- Calculated density: 6061 kg/m³
- E: -8.200 eV per atom
- M_tot: 4.000 Bohr magnetons per cell

Lattice parameters (Å, degrees): 5.376 5.685 9.542 90.00 124.28 90.00
Space group P2_1/c (No. 14)
One atom of each set of equivalent atoms:
1 Li 0.249 0.027 0.252 [4 per cell]
2 Np 0.500 0.000 0.000 [2 per cell]
3 Nb 0.000 0.000 0.500 [2 per cell]
4 O 0.119 0.530 0.242 [4 per cell]
5 O 0.237 0.197 0.062 [4 per cell]
6 O 0.371 0.683 0.061 [4 per cell]

***

## Li2NpNbO8 (PBE)

Data for a relaxed Li2NpNbO8 crystal.

Calculated values
- N(E_F): 1.97 states/eV/cell
- Calculated density: 5414 kg/m³
- E: -7.623 eV per atom
- M_tot: 0.061 Bohr magnetons per cell

Lattice parameters (Å, degrees): 4.604 6.528 4.840 90.00 95.88 90.00
Space group P2/m (No. 10)
One atom of each set of equivalent atoms:
1 Li 0.000 0.232 0.000 [2 per cell]
2 Np 0.500 0.500 0.500 [1 per cell]
3 Nb 0.500 0.000 0.500 [1 per cell]
4 O 0.249 0.234 0.359 [4 per cell]
5 O 0.278 0.500 0.795 [2 per cell]
6 O 0.364 0.000 0.903 [2 per cell]